A plane-wave DFT calculation with PBE-GGA was carried out for a geometry-optimized Nd4Y11Ho9 structure.

abc: 16.734 25.140 3.711
angles: 90.00 90.00 90.00
Space group Cmmm (No. 65)
Unique sites:
Nd1 0.154 0.100 0.000
Y1 0.000 0.136 0.500
Y2 0.000 0.341 0.500
Y3 0.000 0.500 0.500
Y4 0.212 0.000 0.500
Y5 0.226 0.319 0.500
Ho1 0.000 0.000 0.000
Ho2 0.101 0.236 0.000
Ho3 0.139 0.427 0.000

Results
As for the energy: -129.98 eV/f.u. As for the density of states at the Fermi level: 61.31 states/eV per cell. For the formation enthalpy at 0 K, the calculation gives 0.058 eV per atom.